1.
Below is a geometry-optimized Li2Sm2ErSi2 structure, with properties calculated at the PBE level.

a b c (Å): 4.3904 4.3904 27.9931
angles (deg): 90.00 90.00 120.00
Space group R-3m (No. 166, hexagonal axes)
Symmetry-distinct sites (fractional):
Li 0.0000 0.0000 0.1106 (multiplicity 6)
Sm 0.0000 0.0000 0.3767 (multiplicity 6)
Er 0.0000 0.0000 0.5000 (multiplicity 3)
Si 0.0000 0.0000 0.2292 (multiplicity 6)

## Properties
For the energy relative to the elements, uncorrected, the calculation gives -0.391 eV/atom. For the final energy, the calculation gives -4.4873 eV/atom.


2.
Below is a geometry-optimized Nd3Cd5 structure, with properties calculated at the PBE level.

a b c (Å): 7.709 10.808 5.229
angles (deg): 90.00 90.00 90.00
Space group Cmmm (No. 65)
Symmetry-distinct sites (fractional):
Nd 0.000 0.000 0.000 (multiplicity 2)
Nd 0.000 0.275 0.500 (multiplicity 4)
Cd 0.000 0.500 0.000 (multiplicity 2)
Cd 0.238 0.000 0.500 (multiplicity 4)
Cd 0.250 0.250 0.000 (multiplicity 4)

## Properties
The value obtained for the formation energy is -0.29 eV per atom. The calculation puts the excess energy over the best structure of this formula in the dataset at 0.00 eV/f.u. For the final energy, the calculation gives -2.6481 eV/atom.


3.
Below is a geometry-optimized CeBiPbAu structure, with properties calculated at the PBE level.

a b c (Å): 7.652 7.652 7.652
angles (deg): 90.00 90.00 90.00
Space group F-43m (No. 216)
Symmetry-distinct sites (fractional):
Ce 0.000 0.000 0.000 (multiplicity 4)
Bi 0.250 0.250 0.250 (multiplicity 4)
Pb 0.000 0.000 0.500 (multiplicity 4)
Au 0.250 0.250 0.750 (multiplicity 4)

## Properties
The value obtained for the formation energy is -0.36 eV per atom. For the final energy, the calculation gives -4.5595 eV/atom.


4.
Below is a geometry-optimized NaMgTe3 structure, with properties calculated at the PBE level.

a b c (Å): 5.494 5.494 5.494
angles (deg): 90.00 90.00 90.00
Space group Pm-3m (No. 221)
Symmetry-distinct sites (fractional):
Na 0.000 0.000 0.000 (multiplicity 1)
Mg 0.500 0.500 0.500 (multiplicity 1)
Te 0.000 0.000 0.500 (multiplicity 3)

## Properties
For the energy relative to the elements, uncorrected, the calculation gives 0.393 eV/atom. The calculation puts the excess energy over the best structure of this formula in the dataset at 2.87 eV/f.u. For the final energy, the calculation gives -2.0746 eV/atom.


5.
Below is a geometry-optimized Nd2TmPb2 structure, with properties calculated at the PBE level.

a b c (Å): 5.141 18.562 6.634
angles (deg): 90.00 90.00 90.00
Space group Cmc2_1 (No. 36)
Symmetry-distinct sites (fractional):
Nd 0.000 0.000 0.000 (multiplicity 4)
Nd 0.000 0.194 0.251 (multiplicity 4)
Tm 0.000 0.398 0.250 (multiplicity 4)
Pb 0.000 0.188 0.751 (multiplicity 4)
Pb 0.000 0.423 0.750 (multiplicity 4)

## Properties
The value obtained for the formation energy is -0.47 eV per atom. The calculation puts the excess energy over the best structure of this formula in the dataset at 0.23 eV/f.u. For the final energy, the calculation gives -4.7540 eV/atom.


6.
Below is a geometry-optimized K2BaZnSn2 structure, with properties calculated at the PBE level.

a b c (Å): 5.107 9.647 8.999
angles (deg): 90.00 90.00 90.00
Space group Pmc2_1 (No. 26)
Symmetry-distinct sites (fractional):
K 0.000 0.108 0.000 (multiplicity 2)
K 0.500 0.149 0.346 (multiplicity 2)
Ba 0.500 0.461 0.028 (multiplicity 2)
Zn 0.000 0.316 0.635 (multiplicity 2)
Sn 0.000 0.407 0.303 (multiplicity 2)
Sn 0.500 0.213 0.725 (multiplicity 2)

## Properties
The value obtained for the formation energy is -0.22 eV per atom. For the final energy, the calculation gives -2.4517 eV/atom.